(1)
VASP calculation (GGA-PBEsol) on an optimized crystal structure of ScCoTc2.

Unit cell a=4.2247 b=4.2247 c=3.1422 alpha=90.00 beta=90.00 gamma=90.00
Last column: nearest neighbours and their distance in Å.
Positions (direct):
Sc1 0.0000 0.0000 0.0000  8 Tc 2.63
Co1 0.5000 0.5000 0.0000  8 Tc 2.63
Tc1 0.0000 0.5000 0.5000  4 Co 2.63, 4 Sc 2.63
Tc2 0.5000 0.0000 0.5000  4 Co 2.63, 4 Sc 2.63

Properties
VASP energy: -9.0433 eV/atom
SG: P4/mmm (123)
distance to the lowest polymorph of the same formula: 5.314 kcal/mol of atoms

=====

(2)
VASP calculation (GGA-PBEsol) on an optimized crystal structure of RbZrAs3.

Unit cell a=5.2082 b=5.2082 c=5.2082 alpha=90.00 beta=90.00 gamma=90.00
Last column: nearest neighbours and their distance in Å.
Positions (direct):
Rb1 0.0000 0.0000 0.0000  12 As 3.68
Zr1 0.5000 0.5000 0.5000  6 As 2.60
As1 0.0000 0.5000 0.5000  2 Zr 2.60
As2 0.5000 0.0000 0.5000  2 Zr 2.60
As3 0.5000 0.5000 0.0000  2 Zr 2.60

Properties
VASP energy: -5.3238 eV/atom
SG: Pm-3m (221)

=====

(3)
VASP calculation (GGA-PBEsol) on an optimized crystal structure of CsInI3.

Unit cell a=6.0145 b=6.0145 c=6.0145 alpha=90.00 beta=90.00 gamma=90.00
Last column: nearest neighbours and their distance in Å.
Positions (direct):
Cs1 0.0000 0.0000 0.0000  12 I 4.25
In1 0.5000 0.5000 0.5000  6 I 3.01
I1 0.0000 0.5000 0.5000  2 In 3.01
I2 0.5000 0.0000 0.5000  2 In 3.01
I3 0.5000 0.5000 0.0000  2 In 3.01

Properties
formation energy without anion corrections: -0.909 eV/atom
VASP energy: -2.7542 eV/atom
SG: Pm-3m (221)

=====

(4)
VASP calculation (GGA-PBEsol) on an optimized crystal structure of RbGa2Ni2.

Unit cell a=8.7454 b=8.7454 c=8.7454 alpha=157.06 beta=157.06 gamma=32.67
Last column: nearest neighbours and their distance in Å.
Positions (direct):
Rb1 0.0000 0.0000 0.0000  4 Rb 3.48, 8 Ga 3.54
Ga1 0.3481 0.3481 0.0000  4 Ni 2.39
Ga2 0.6519 0.6519 0.0000  4 Ni 2.39
Ni1 0.2500 0.7500 0.5000  4 Ga 2.39, 4 Ni 2.46
Ni2 0.7500 0.2500 0.5000  4 Ga 2.39, 4 Ni 2.46

Properties
VASP energy: -4.0251 eV/atom
SG: I4/mmm (139)

=====

> Which of these has the lowest VASP energy?

ScCoTc2

=====

> The highest VASP energy belongs to which entry?

CsInI3

=====

> Among the records above, which one has the lowest VASP energy?

ScCoTc2

=====

> The lowest VASP energy belongs to which entry?

ScCoTc2